8
Lattice="2.393 1.382 7.837 -2.393 1.382 7.837 0.000 -2.763 7.837" Properties=species:S:1:pos:R:3 comment="HoTm2AlPd4 | Alexandria | PBE | relaxed" delta_e_f_ev_per_fu=-7.067 space_group="R-3m, No. 166" n_ef_per_ev_cell=5.796 pbc="T T T"
Ho 0.000 0.000 0.000
Tm 0.000 0.000 5.762
Tm 0.000 0.000 17.749
Al 0.000 0.000 11.756
Pd 0.000 0.000 2.972
Pd 0.000 0.000 9.063
Pd 0.000 0.000 14.448
Pd 0.000 0.000 20.539

=====

8
Lattice="4.432 0.000 0.000 0.000 3.789 0.000 0.000 0.000 11.192" Properties=species:S:1:pos:R:3 comment="YHoAlPd | Alexandria | PBE | relaxed" delta_e_f_ev_per_fu=-2.544 space_group="Amm2, No. 38" n_ef_per_ev_cell=7.023 pbc="T T T"
Y 0.000 0.000 0.000
Y 0.000 1.895 5.596
Ho 2.216 0.000 3.289
Ho 2.216 1.895 8.885
Al 2.216 0.000 6.463
Al 2.216 1.895 0.867
Pd 0.000 0.000 8.058
Pd 0.000 1.895 2.462

=====

16
Lattice="7.144 0.000 0.000 0.000 7.144 0.000 0.000 0.000 7.144" Properties=species:S:1:pos:R:3 comment="YHoAlPd | Alexandria | PBE | relaxed" delta_e_f_ev_per_fu=-2.358 space_group="F-43m, No. 216" n_ef_per_ev_cell=12.716 pbc="T T T"
Y 0.000 0.000 0.000
Y 0.000 3.572 3.572
Y 3.572 0.000 3.572
Y 3.572 3.572 0.000
Ho 0.000 0.000 3.572
Ho 0.000 3.572 0.000
Ho 3.572 0.000 0.000
Ho 3.572 3.572 3.572
Al 1.786 1.786 5.358
Al 1.786 5.358 1.786
Al 5.358 1.786 1.786
Al 5.358 5.358 5.358
Pd 1.786 1.786 1.786
Pd 1.786 5.358 5.358
Pd 5.358 1.786 5.358
Pd 5.358 5.358 1.786

=====

10
Lattice="4.153 0.000 0.000 0.000 4.153 0.000 0.000 0.000 10.768" Properties=species:S:1:pos:R:3 comment="Ho2Al4ZnPd3 | Alexandria | PBE | relaxed" delta_e_f_ev_per_fu=-7.428 space_group="P-4m2, No. 115" n_ef_per_ev_cell=5.114 pbc="T T T"
Ho 0.000 2.077 2.668
Ho 2.077 0.000 8.100
Al 0.000 0.000 0.000
Al 0.000 2.077 6.839
Al 2.077 0.000 3.930
Al 2.077 2.077 0.000
Zn 0.000 0.000 5.384
Pd 0.000 2.077 9.306
Pd 2.077 0.000 1.462
Pd 2.077 2.077 5.384

=====

20
Lattice="10.220 0.000 0.000 0.000 10.220 0.000 0.000 0.000 3.382" Properties=species:S:1:pos:R:3 comment="Ho2Al2ZnPd5 | Alexandria | PBE | relaxed" delta_e_f_ev_per_fu=-7.367 space_group="P4/mbm, No. 127" n_ef_per_ev_cell=12.595 pbc="T T T"
Ho 1.783 3.327 0.000
Ho 3.327 8.437 0.000
Ho 6.893 1.783 0.000
Ho 8.437 6.893 0.000
Al 1.295 6.406 0.000
Al 3.815 1.295 0.000
Al 6.406 8.925 0.000
Al 8.925 3.815 0.000
Zn 0.000 0.000 0.000
Zn 5.110 5.110 0.000
Pd 0.000 5.110 1.691
Pd 0.555 8.160 1.691
Pd 2.060 0.555 1.691
Pd 3.050 5.666 1.691
Pd 4.555 3.050 1.691
Pd 5.110 0.000 1.691
Pd 5.666 7.170 1.691
Pd 7.170 4.555 1.691
Pd 8.160 9.665 1.691
Pd 9.665 2.060 1.691

=====

8
Lattice="2.239 1.293 7.454 -2.239 1.293 7.454 0.000 -2.585 7.454" Properties=species:S:1:pos:R:3 comment="HoAlZn2Pd4 | Alexandria | PBE | relaxed" delta_e_f_ev_per_fu=-5.869 space_group="R-3m, No. 166" n_ef_per_ev_cell=2.504 pbc="T T T"
Ho 0.000 0.000 0.000
Al 0.000 0.000 11.180
Zn 0.000 0.000 5.590
Zn 0.000 0.000 16.770
Pd 0.000 0.000 2.921
Pd 0.000 0.000 8.690
Pd 0.000 0.000 13.670
Pd 0.000 0.000 19.440

=====

8
Lattice="2.159 1.247 8.316 -2.159 1.247 8.316 0.000 -2.493 8.316" Properties=species:S:1:pos:R:3 comment="HoAl2ZnPd4 | Alexandria | PBE | relaxed" delta_e_f_ev_per_fu=-6.322 space_group="R-3m, No. 166" n_ef_per_ev_cell=2.800 pbc="T T T"
Ho 0.000 0.000 0.000
Al 0.000 0.000 6.007
Al 0.000 0.000 18.941
Zn 0.000 0.000 12.474
Pd 0.000 0.000 3.246
Pd 0.000 0.000 9.941
Pd 0.000 0.000 15.007
Pd 0.000 0.000 21.702

=====

16
Lattice="6.946 0.000 0.000 0.000 6.946 0.000 0.000 0.000 6.946" Properties=species:S:1:pos:R:3 comment="HoZrAlPd | Alexandria | PBE | relaxed" delta_e_f_ev_per_fu=-1.759 space_group="F-43m, No. 216" n_ef_per_ev_cell=18.652 pbc="T T T"
Ho 0.000 0.000 0.000
Ho 0.000 3.473 3.473
Ho 3.473 0.000 3.473
Ho 3.473 3.473 0.000
Zr 0.000 0.000 3.473
Zr 0.000 3.473 0.000
Zr 3.473 0.000 0.000
Zr 3.473 3.473 3.473
Al 1.736 1.736 5.209
Al 1.736 5.209 1.736
Al 5.209 1.736 1.736
Al 5.209 5.209 5.209
Pd 1.736 1.736 1.736
Pd 1.736 5.209 5.209
Pd 5.209 1.736 5.209
Pd 5.209 5.209 1.736

=====

12
Lattice="2.814 1.625 8.807 -2.814 1.625 8.807 0.000 -3.249 8.807" Properties=species:S:1:pos:R:3 comment="Pm2HoAl9 | Alexandria | PBE | relaxed" delta_e_f_ev_per_fu=-4.241 space_group="R-3m, No. 166" n_ef_per_ev_cell=5.654 pbc="T T T"
Pm 0.000 0.000 3.747
Pm 0.000 0.000 22.672
Ho 0.000 0.000 0.000
Al -1.438 -0.830 10.986
Al 0.000 0.000 8.858
Al 0.000 -1.660 15.434
Al -1.438 0.830 15.434
Al 0.000 0.000 13.210
Al 1.438 -0.830 10.986
Al 0.000 1.660 10.986
Al 0.000 0.000 17.562
Al 1.438 0.830 15.434

=====

80
Lattice="-9.120 9.120 9.120 9.120 -9.120 9.120 9.120 9.120 -9.120" Properties=species:S:1:pos:R:3 comment="Pm12Ho5Al3 | Alexandria | PBE | relaxed" delta_e_f_ev_per_fu=15.619 space_group="Ia-3d, No. 230" n_ef_per_ev_cell=129.500 pbc="T T T"
Pm 8.973 -1.512 2.768
Pm 13.826 -1.791 3.048
Pm 2.768 -0.146 1.512
Pm 10.911 6.072 -4.706
Pm 11.888 0.146 1.512
Pm 10.911 -3.048 4.706
Pm 1.512 2.768 -0.146
Pm 12.167 4.414 -1.791
Pm 6.072 4.706 -1.791
Pm 7.607 2.768 0.146
Pm -0.146 1.512 2.768
Pm 4.706 -1.791 6.072
Pm 8.973 7.607 -2.768
Pm 4.706 1.791 3.048
Pm 7.607 -2.768 8.973
Pm 6.072 -4.706 10.911
Pm 3.048 4.706 1.791
Pm 10.632 6.351 0.146
Pm 2.768 8.973 -1.512
Pm 10.911 3.048 4.414
Pm 1.791 3.048 4.706
Pm 2.768 0.146 7.607
Pm 4.706 10.911 -3.048
Pm 8.973 1.512 6.351
Pm 0.146 7.607 2.768
Pm 4.414 -1.791 12.167
Pm 6.351 8.973 1.512
Pm 7.328 6.072 4.414
Pm -1.791 6.072 4.706
Pm 6.351 0.146 10.632
Pm -1.512 2.768 8.973
Pm 6.072 4.414 7.328
Pm 3.048 13.826 -1.791
Pm 1.512 11.888 0.146
Pm 4.414 7.328 6.072
Pm 0.146 1.512 11.888
Pm 4.414 10.911 3.048
Pm 9.266 7.607 6.351
Pm 1.512 6.351 8.973
Pm 3.048 4.414 10.911
Pm -3.048 4.706 10.911
Pm 7.607 6.351 9.266
Pm -1.791 12.167 4.414
Pm -2.768 8.973 7.607
Pm -1.791 3.048 13.826
Pm 6.351 9.266 7.607
Pm -4.706 10.911 6.072
Pm 0.146 10.632 6.351
Ho 0.000 0.000 0.000
Ho 4.560 4.560 -4.560
Ho 4.560 -4.560 4.560
Ho 9.120 0.000 0.000
Ho 13.679 2.280 0.000
Ho 9.120 -4.560 6.840
Ho 6.840 9.120 -4.560
Ho 6.840 0.000 4.560
Ho 4.560 6.840 0.000
Ho 9.120 4.560 2.280
Ho -4.560 4.560 4.560
Ho 0.000 9.120 0.000
Ho 0.000 0.000 9.120
Ho 4.560 4.560 4.560
Ho 0.000 4.560 6.840
Ho 4.560 2.280 9.120
Ho 2.280 9.120 4.560
Ho 2.280 0.000 13.679
Ho 0.000 13.679 2.280
Ho -4.560 6.840 9.120
Al 4.560 2.280 0.000
Al 9.120 4.560 -2.280
Al 2.280 0.000 4.560
Al 11.399 0.000 4.560
Al 0.000 4.560 2.280
Al 4.560 -2.280 9.120
Al 4.560 11.399 0.000
Al 9.120 4.560 6.840
Al -2.280 9.120 4.560
Al 6.840 9.120 4.560
Al 0.000 4.560 11.399
Al 4.560 6.840 9.120

=====

6
Lattice="0.000 3.964 3.964 3.964 0.000 3.964 3.964 3.964 0.000" Properties=species:S:1:pos:R:3 comment="PmHoAl4 | Alexandria | PBE | relaxed" delta_e_f_ev_per_fu=-3.030 space_group="F-43m, No. 216" n_ef_per_ev_cell=4.911 pbc="T T T"
Pm 0.000 0.000 0.000
Ho 5.945 5.945 5.945
Al 2.973 2.973 2.973
Al 4.954 4.954 2.973
Al 4.954 2.973 4.954
Al 2.973 4.954 4.954

=====

18
Lattice="8.864 0.000 0.000 0.000 8.864 0.000 0.000 0.000 6.018" Properties=species:S:1:pos:R:3 comment="Pm4HoAl4 | Alexandria | PBE | relaxed" delta_e_f_ev_per_fu=-1.412 space_group="P4_2/n, No. 86" n_ef_per_ev_cell=15.711 pbc="T T T"
Pm 0.696 7.301 0.760
Pm 1.563 5.128 3.769
Pm 2.869 8.168 3.769
Pm 3.736 5.995 0.760
Pm 5.128 2.869 5.258
Pm 5.995 0.696 2.249
Pm 7.301 3.736 2.249
Pm 8.168 1.563 5.258
Ho 2.216 2.216 4.514
Ho 6.648 6.648 1.505
Al 0.545 1.406 2.135
Al 1.406 3.887 0.874
Al 3.026 0.545 0.874
Al 3.887 3.026 2.135
Al 4.977 5.838 3.883
Al 5.838 8.320 5.144
Al 7.458 4.977 5.144
Al 8.320 7.458 3.883

=====

16
Lattice="5.037 0.000 0.000 0.000 5.037 0.000 0.000 0.000 20.413" Properties=species:S:1:pos:R:3 comment="Pm12Ho3Al | Alexandria | PBE | relaxed" delta_e_f_ev_per_fu=-0.290 space_group="P4/mmm, No. 123" n_ef_per_ev_cell=22.084 pbc="T T T"
Pm 0.000 0.000 0.000
Pm 0.000 0.000 4.995
Pm 0.000 0.000 10.206
Pm 0.000 0.000 15.418
Pm 0.000 2.518 2.400
Pm 0.000 2.518 7.606
Pm 0.000 2.518 12.807
Pm 0.000 2.518 18.013
Pm 2.518 0.000 2.400
Pm 2.518 0.000 7.606
Pm 2.518 0.000 12.807
Pm 2.518 0.000 18.013
Ho 2.518 2.518 5.030
Ho 2.518 2.518 10.206
Ho 2.518 2.518 15.383
Al 2.518 2.518 0.000

=====

12
Lattice="4.816 0.000 0.000 0.000 14.980 0.000 0.000 0.000 4.861" Properties=species:S:1:pos:R:3 comment="Pm2Ho3Al | Alexandria | PBE | relaxed" delta_e_f_ev_per_fu=-0.497 space_group="Cmmm, No. 65" n_ef_per_ev_cell=14.034 pbc="T T T"
Pm 0.000 2.385 0.000
Pm 0.000 12.595 0.000
Pm 2.408 5.105 0.000
Pm 2.408 9.875 0.000
Ho 0.000 0.000 2.430
Ho 0.000 5.065 2.430
Ho 0.000 9.915 2.430
Ho 2.408 2.425 2.430
Ho 2.408 7.490 2.430
Ho 2.408 12.555 2.430
Al 0.000 7.490 0.000
Al 2.408 0.000 0.000

=====

4
Lattice="3.642 0.000 0.000 0.000 3.642 0.000 0.000 0.000 7.265" Properties=species:S:1:pos:R:3 comment="PmHoAl2 | Alexandria | PBE | relaxed" delta_e_f_ev_per_fu=-1.545 space_group="P4/mmm, No. 123" n_ef_per_ev_cell=1.269 pbc="T T T"
Pm 0.000 0.000 0.000
Ho 0.000 0.000 3.632
Al 1.821 1.821 1.913
Al 1.821 1.821 5.352

=====

8
Lattice="8.555 0.000 0.000 -4.278 7.409 0.000 0.000 0.000 3.313" Properties=species:S:1:pos:R:3 comment="Pm3Ho2Al3 | Alexandria | PBE | relaxed" delta_e_f_ev_per_fu=-1.834 space_group="P-62m, No. 189" n_ef_per_ev_cell=8.843 pbc="T T T"
Pm -1.046 1.811 0.000
Pm 2.091 0.000 0.000
Pm 3.232 5.598 0.000
Ho 0.000 4.939 0.000
Ho 4.278 2.470 0.000
Al -2.622 4.542 1.656
Al 1.656 2.867 1.656
Al 5.244 0.000 1.656

=====

16
Lattice="4.777 0.000 0.000 0.000 4.777 0.000 0.000 0.000 19.509" Properties=species:S:1:pos:R:3 comment="PmHo12Al3 | Alexandria | PBE | relaxed" delta_e_f_ev_per_fu=-2.004 space_group="P4/mmm, No. 123" n_ef_per_ev_cell=16.074 pbc="T T T"
Pm 0.000 0.000 0.000
Ho 0.000 2.388 2.650
Ho 0.000 2.388 7.386
Ho 0.000 2.388 12.123
Ho 0.000 2.388 16.859
Ho 2.388 0.000 2.650
Ho 2.388 0.000 7.386
Ho 2.388 0.000 12.123
Ho 2.388 0.000 16.859
Ho 2.388 2.388 0.000
Ho 2.388 2.388 5.039
Ho 2.388 2.388 9.754
Ho 2.388 2.388 14.470
Al 0.000 0.000 5.043
Al 0.000 0.000 9.754
Al 0.000 0.000 14.466

=====

19
Lattice="5.918 3.417 4.960 -5.918 3.417 4.960 0.000 -6.834 4.960" Properties=species:S:1:pos:R:3 comment="Pm6Ho12Al | Alexandria | PBE | relaxed" delta_e_f_ev_per_fu=1.689 space_group="R-3, No. 148" n_ef_per_ev_cell=24.482 pbc="T T T"
Pm -3.298 -0.768 7.691
Pm -0.984 -3.241 7.189
Pm -2.315 2.472 7.189
Pm 2.315 -2.472 7.691
Pm 0.984 3.241 7.691
Pm 3.298 0.768 7.189
Ho -5.324 1.424 6.221
Ho -3.895 -3.899 8.659
Ho -2.025 -0.006 4.676
Ho 1.429 -5.322 6.221
Ho 1.018 -1.750 4.676
Ho 1.007 1.757 4.676
Ho -1.007 -1.757 10.203
Ho -1.018 1.750 10.203
Ho -1.429 5.322 8.659
Ho 2.025 0.006 10.203
Ho 3.895 3.899 6.221
Ho 5.324 -1.424 8.659
Al 0.000 0.000 7.440

=====

14
Lattice="9.378 0.000 0.000 0.000 9.045 0.000 -4.636 0.000 4.705" Properties=species:S:1:pos:R:3 comment="Pm4HoAl2 | Alexandria | PBE | relaxed" delta_e_f_ev_per_fu=-0.766 space_group="C2/m, No. 12" n_ef_per_ev_cell=14.805 pbc="T T T"
Pm 1.104 1.712 1.099
Pm 1.104 7.333 1.099
Pm -1.051 2.811 3.606
Pm -1.051 6.234 3.606
Pm 5.793 2.811 1.099
Pm 5.793 6.234 1.099
Pm 3.638 1.712 3.606
Pm 3.638 7.333 3.606
Ho -2.318 0.000 2.352
Ho 2.371 4.522 2.352
Al -0.884 4.522 0.906
Al 0.937 0.000 3.799
Al 3.805 0.000 0.906
Al 5.626 4.522 3.799